A plane-wave DFT calculation with PBE was carried out for crystalline Sc2MnBe at its relaxed geometry.

Cell: 3.1329 3.1329 25.4952 Å, 90.00 90.00 120.00°
Space group R-3m (No. 166, hexagonal axes)
Asymmetric unit:
Sc 0.0000 0.0000 0.2457 (multiplicity 6)
Mn 0.0000 0.0000 0.0000 (multiplicity 3)
Be 0.0000 0.0000 0.5000 (multiplicity 3)

Properties
- Size of the total moment: 2.78 μB per formula unit
- Electronic total energy: -6.08 eV per atom
- Crystal system: trigonal